{"formula": "AcMgRuC", "functional": "PBE-GGA", "state": "optimized geometry", "lattice": [[3.8899, 0.0000, 0.0000], [0.0000, 3.8899, 0.0000], [0.0000, 0.0000, 11.5273]], "species": ["Ac", "Ac", "Mg", "Mg", "Ru", "Ru", "C", "C"], "fractional_positions": [[0.7500, 0.7500, 0.2163], [0.2500, 0.2500, 0.7837], [0.2500, 0.7500, 0.5000], [0.7500, 0.2500, 0.5000], [0.7500, 0.2500, 0.0000], [0.2500, 0.7500, 0.0000], [0.7500, 0.7500, 0.9220], [0.2500, 0.2500, 0.0780]], "sg": "P4/nmm, No. 129", "magmom_total_mub_per_cell": 0.00, "rho_kg_m3": 6938, "formation_energy_ev_per_fu": 0.60, "vol_a3_per_fu": 87, "e_tot_ev_per_cell": -47.205}